The following is a DFT calculation (PBE) of a geometry-optimized Rb2CdReSe6 structure.

abc: 7.2901 7.2901 8.9585
angles: 127.49 127.49 50.79
Positions (direct):
Rb: 0.2146 0.2146 0.2382
Rb: 0.7854 0.7854 0.7618
Cd: 0.5000 0.5000 0.0000
Re: 0.0000 0.0000 0.5000
Se: 0.2117 0.6826 0.2512
Se: 0.2517 0.2517 0.6428
Se: 0.3174 0.7883 0.7488
Se: 0.6826 0.2117 0.2512
Se: 0.7483 0.7483 0.3572
Se: 0.7883 0.3174 0.7488

Summary:
Energy above the lowest structure with this stoichiometry: 0.000 kcal/mol of atoms
Total magnetization: 0.0 μB per cell
Crystal system: monoclinic

The following is a DFT calculation (PBE) of a geometry-optimized GdZn structure.

abc: 5.0827 3.5260 5.1291
angles: 90.00 90.00 90.00
Positions (direct):
Gd: 0.2500 0.0000 0.2416
Gd: 0.7500 0.0000 0.7584
Zn: 0.2500 0.5000 0.7367
Zn: 0.7500 0.5000 0.2633

Summary:
Formation energy from the elements: -336 meV/atom
Energy above the lowest structure with this stoichiometry: 0.047 kcal/mol of atoms
Total magnetization: 0.0 μB per cell
Crystal system: orthorhombic

The following is a DFT calculation (PBE) of a geometry-optimized NaUAuSe3 structure.

abc: 7.2050 7.2050 10.7020
angles: 90.00 90.00 146.94
Positions (direct):
Na: 0.2355 0.7645 0.7500
Na: 0.7645 0.2355 0.2500
U: 0.0000 0.0000 0.0000
U: 0.0000 0.0000 0.5000
Au: 0.4599 0.5401 0.2500
Au: 0.5401 0.4599 0.7500
Se: 0.0850 0.9150 0.2500
Se: 0.3598 0.6402 0.0478
Se: 0.3598 0.6402 0.4522
Se: 0.6402 0.3598 0.5478
Se: 0.6402 0.3598 0.9522
Se: 0.9150 0.0850 0.7500

Summary:
Total magnetization: 4.0 μB per cell
E_tot: -5.287 eV per atom
Crystal system: orthorhombic

The following is a DFT calculation (PBE) of a geometry-optimized CsHoSbSe3 structure.

abc: 8.6587 8.6587 11.7934
angles: 90.00 90.00 149.79
Positions (direct):
Cs: 0.2152 0.7848 0.7500
Cs: 0.7848 0.2152 0.2500
Ho: 0.5000 0.5000 0.0000
Ho: 0.5000 0.5000 0.5000
Sb: 0.0899 0.9101 0.2500
Sb: 0.9101 0.0899 0.7500
Se: 0.1101 0.8899 0.0081
Se: 0.1101 0.8899 0.4919
Se: 0.4981 0.5019 0.7500
Se: 0.5019 0.4981 0.2500
Se: 0.8899 0.1101 0.5081
Se: 0.8899 0.1101 0.9919

Summary:
Total magnetization: 0.0 μB per cell
E_tot: -4.376 eV per atom
Crystal system: orthorhombic